# 1
# BaLiFe2 PBE relaxed
# - E (eV/atom) = -4.094
# - energy above the most stable polymorph in this dataset (eV/atom) = 0.603
# - V (Å³/atom) = 20.71
# - magnetic moment (μB per formula unit) = 5.4
# - ΔH_f (0 K) (eV per atom) = 1.097
data_BaLiFe2
_space_group_name_H-M_alt 'P 1'
_space_group_IT_number 1
_cell_length_a 9.688
_cell_length_b 9.688
_cell_length_c 9.688
_cell_angle_alpha 18.84
_cell_angle_beta 18.84
_cell_angle_gamma 18.84
loop_
_space_group_symop_operation_xyz
'x,y,z'
loop_
_atom_site_label
_atom_site_type_symbol
_atom_site_fract_x
_atom_site_fract_y
_atom_site_fract_z
Ba1 Ba 0.750 0.750 0.750
Fe1 Fe 0.988 0.988 0.988
Fe2 Fe 0.512 0.512 0.512
Li1 Li 0.250 0.250 0.250

# 2
# BaLi2MgFe PBE relaxed
# - E (eV/atom) = -1.880
# - V (Å³/atom) = 26.81
# - magnetic moment (μB per formula unit) = 0.0
# - ΔH_f (0 K) (eV per atom) = 1.281
data_BaLi2MgFe
_space_group_name_H-M_alt 'P 1'
_space_group_IT_number 1
_cell_length_a 5.315
_cell_length_b 4.745
_cell_length_c 5.315
_cell_angle_alpha 90.00
_cell_angle_beta 90.00
_cell_angle_gamma 90.00
loop_
_space_group_symop_operation_xyz
'x,y,z'
loop_
_atom_site_label
_atom_site_type_symbol
_atom_site_fract_x
_atom_site_fract_y
_atom_site_fract_z
Mg1 Mg 0.500 0.500 0.500
Li1 Li 0.000 0.000 0.500
Li2 Li 0.500 0.000 0.000
Ba1 Ba 0.000 0.000 0.000
Fe1 Fe 0.000 0.500 0.000

# 3
# BaLiFeN2 PBE relaxed
# - E (eV/atom) = -6.125
# - V (Å³/atom) = 13.86
# - uncorrected formation energy (meV per atom) = -335
# - magnetic moment (μB per formula unit) = 1.1
data_BaLiFeN2
_space_group_name_H-M_alt 'P 1'
_space_group_IT_number 1
_cell_length_a 4.700
_cell_length_b 6.246
_cell_length_c 5.097
_cell_angle_alpha 90.00
_cell_angle_beta 90.00
_cell_angle_gamma 112.10
loop_
_space_group_symop_operation_xyz
'x,y,z'
loop_
_atom_site_label
_atom_site_type_symbol
_atom_site_fract_x
_atom_site_fract_y
_atom_site_fract_z
Ba1 Ba 0.750 0.500 0.753
Ba2 Ba 0.250 0.500 0.247
Li1 Li 0.000 0.000 0.500
Li2 Li 0.500 0.000 0.500
Fe1 Fe 0.750 0.000 0.000
Fe2 Fe 0.250 0.000 0.000
N1 N 0.902 0.804 0.191
N2 N 0.598 0.196 0.191
N3 N 0.402 0.804 0.809
N4 N 0.098 0.196 0.809

# 4
# Ba2LiFe2N3 PBE relaxed
# - E (eV/atom) = -6.411
# - V (Å³/atom) = 17.11
# - uncorrected formation energy (meV per atom) = -454
# - magnetic moment (μB per formula unit) = 3.1
data_Ba2LiFe2N3
_space_group_name_H-M_alt 'P 1'
_space_group_IT_number 1
_cell_length_a 6.803
_cell_length_b 6.803
_cell_length_c 6.795
_cell_angle_alpha 89.17
_cell_angle_beta 89.17
_cell_angle_gamma 119.46
loop_
_space_group_symop_operation_xyz
'x,y,z'
loop_
_atom_site_label
_atom_site_type_symbol
_atom_site_fract_x
_atom_site_fract_y
_atom_site_fract_z
Ba1 Ba 0.826 0.681 0.899
Ba2 Ba 0.319 0.174 0.601
Ba3 Ba 0.174 0.319 0.101
Ba4 Ba 0.681 0.826 0.399
Li1 Li 0.807 0.193 0.750
Li2 Li 0.193 0.807 0.250
Fe1 Fe 0.568 0.161 0.101
Fe2 Fe 0.432 0.839 0.899
Fe3 Fe 0.839 0.432 0.399
Fe4 Fe 0.161 0.568 0.601
N1 N 0.397 0.603 0.750
N2 N 0.603 0.397 0.250
N3 N 0.007 0.712 0.504
N4 N 0.712 0.007 0.004
N5 N 0.993 0.288 0.496
N6 N 0.288 0.993 0.996